DFT (GGA-PBE) results for Cd2OsW after structural relaxation.

Calculated values
Crystal system = orthorhombic
Volume = 70 Å³ per cell
Size of the total moment = 0.51 Bohr magnetons per cell
Distance to the lowest polymorph of the same formula = 544.6 meV/atom
Calculated formation energy = 0.79 eV per atom
Space group = Cmmm, No. 65

abc: 5.371 5.371 2.808
angles: 90.00 90.00 119.75
Element x y z (fractional)
Cd1 0.000 0.500 0.000
Cd2 0.500 0.000 0.000
Os1 0.000 0.000 0.500
W1 0.500 0.500 0.500